1.
This record from Alexandria via LeMat-Bulk describes Hg2OsW at its PBEsol-relaxed geometry. The functional is meta-GGA SCAN.

Values from the calculation:
Symmetry: No. 8
N(E_F): 2.89 states/eV per cell
Magnetic moment: 0.00 μB per formula unit
ΔE to the lowest computed polymorph: 22.8 kJ/mol of atoms
Energy relative to the elements: 0.860 eV per atom
Energy: -68.615 eV/atom

Unit cell a=2.896 b=4.870 c=5.147 alpha=98.16 beta=90.00 gamma=107.30
Atoms (fractional coordinates):
1 Hg 0.003 0.007 0.994
2 Hg 0.245 0.491 0.758
3 Os 0.494 0.987 0.463
4 W 0.758 0.515 0.286

***

2.
This record from Alexandria via LeMat-Bulk describes HfZr2ReAg at its PBEsol-relaxed geometry. The functional is meta-GGA SCAN.

Values from the calculation:
Symmetry: No. 123
N(E_F): 4.59 states/eV per cell
Magnetic moment: 0.00 μB per formula unit
Energy relative to the elements: 1.410 eV per atom
Energy: -43.897 eV/atom

Unit cell a=4.650 b=5.059 c=5.059 alpha=90.00 beta=90.00 gamma=90.00
Atoms (fractional coordinates):
1 Hf 0.000 0.000 0.000
2 Re 0.500 0.000 0.000
3 Ag 0.500 0.500 0.500
4 Zr 0.000 0.500 0.000
5 Zr 0.000 0.000 0.500